Entry 1:
This record from Alexandria describes a relaxed structure of YCd2Rh. The functional is GGA-PBEsol.

M_tot ... 0.00 μB/atom
SG ... Fm-3m, No. 225
DOS at the Fermi energy ... 4.6 states/eV per cell
Calculated formation energy ... -259 meV/atom
Uncorrected energy ... -4.5979 eV per atom

Geometry as POSCAR:
```
YCd2Rh
1.0
-2.9383 -3.3764 1.6902
0.5684 -4.5567 -1.3430
1.6213 -3.2327 3.1324
Y Rh Cd
1 1 2
Direct
0.0000 0.0000 0.0000
0.5000 0.5000 0.5000
0.2500 0.2500 0.2500
0.7500 0.7500 0.7500
```

=====

Entry 2:
This record from Alexandria describes a relaxed structure of YCd2Rh. The functional is GGA-PBEsol.

M_tot ... 0.00 μB/atom
SG ... Immm, No. 71
DOS at the Fermi energy ... 1.5 states/eV per cell
Calculated formation energy ... -405 meV/atom
Uncorrected energy ... -4.7436 eV per atom

Geometry as POSCAR:
```
YCd2Rh
1.0
-1.8237 3.6571 0.0386
-2.5689 -1.3134 3.0595
5.1417 0.2643 1.5405
Y Rh Cd
1 1 2
Direct
0.0000 0.5000 0.0000
0.5000 0.0000 0.0000
0.7525 0.7525 0.5050
0.2475 0.2475 0.4950
```

=====

Entry 3:
This record from Alexandria describes a relaxed structure of YCd2Rh. The functional is GGA-PBEsol.

M_tot ... 0.00 μB/atom
SG ... P4mm, No. 99
DOS at the Fermi energy ... 2.4 states/eV per cell
Calculated formation energy ... -353 meV/atom
Uncorrected energy ... -4.6914 eV per atom

Geometry as POSCAR:
```
YCd2Rh
1.0
3.3123 0.0000 0.0000
0.0000 3.3123 0.0000
0.0000 0.0000 7.3568
Y Rh Cd
1 1 2
Direct
0.5000 0.5000 0.7080
0.0000 0.0000 0.4904
0.0000 0.0000 0.0251
0.5000 0.5000 0.2766
```

=====

Entry 4:
This record from Alexandria describes a relaxed structure of Y2ZrCdRh. The functional is GGA-PBEsol.

M_tot ... 0.38 μB/atom
SG ... P4/mmm, No. 123
DOS at the Fermi energy ... 6.8 states/eV per cell
Calculated formation energy ... 847 meV/atom
Uncorrected energy ... -5.5672 eV per atom

Geometry as POSCAR:
```
Y2ZrCdRh
1.0
-2.2231 -0.5254 -4.2376
-3.8873 -2.8424 2.3918
-2.7631 4.5263 0.8883
Y Rh Zr Cd
2 1 1 1
Direct
0.0000 0.0000 0.5000
0.0000 0.5000 0.0000
0.5000 0.0000 0.0000
0.5000 0.5000 0.5000
0.0000 0.0000 0.0000
```

=====

Entry 5:
This record from Alexandria describes a relaxed structure of Zn2CdRh. The functional is GGA-PBEsol.

M_tot ... 0.00 μB/atom
SG ... I-4m2, No. 119
DOS at the Fermi energy ... 1.3 states/eV per cell
Calculated formation energy ... -191 meV/atom
Uncorrected energy ... -3.3156 eV per atom

Geometry as POSCAR:
```
Zn2CdRh
1.0
3.7597 0.0000 0.0000
0.0000 3.7597 0.0000
-1.8799 -1.8799 4.1725
Zn Rh Cd
2 1 1
Direct
0.0000 0.0000 0.0000
0.7500 0.2500 0.5000
0.2500 0.7500 0.5000
0.5000 0.5000 0.0000
```

=====

Entry 6:
This record from Alexandria describes a relaxed structure of Zn2CdRh. The functional is GGA-PBEsol.

M_tot ... 0.00 μB/atom
SG ... P4/mmm, No. 123
DOS at the Fermi energy ... 2.1 states/eV per cell
Calculated formation energy ... -192 meV/atom
Uncorrected energy ... -3.3165 eV per atom

Geometry as POSCAR:
```
Zn2CdRh
1.0
3.7453 0.0000 0.0000
0.0000 3.9603 0.0000
0.0000 0.0000 3.9603
Zn Rh Cd
2 1 1
Direct
0.0000 0.0000 0.5000
0.0000 0.5000 0.0000
0.5000 0.0000 0.0000
0.5000 0.5000 0.5000
```

=====

Entry 7:
This record from Alexandria describes a relaxed structure of ZnCd2Rh2. The functional is GGA-PBEsol.

M_tot ... 0.00 μB/atom
SG ... P4/mbm, No. 127
DOS at the Fermi energy ... 10.5 states/eV per cell
Calculated formation energy ... -122 meV/atom
Uncorrected energy ... -4.1729 eV per atom

Geometry as POSCAR:
```
ZnCd2Rh2
1.0
4.0693 0.0000 0.0000
0.0000 6.4115 0.0000
0.0000 0.0000 6.4115
Zn Rh Cd
2 4 4
Direct
0.0000 0.0000 0.0000
0.0000 0.5000 0.5000
0.0000 0.3597 0.8597
0.0000 0.8597 0.6403
0.0000 0.6403 0.1403
0.0000 0.1403 0.3597
0.5000 0.1639 0.6639
0.5000 0.6639 0.8361
0.5000 0.8361 0.3361
0.5000 0.3361 0.1639
```

=====

Entry 8:
This record from Alexandria describes a relaxed structure of ZrCdRh2. The functional is GGA-PBEsol.

M_tot ... 0.00 μB/atom
SG ... Pmm2, No. 25
DOS at the Fermi energy ... 2.0 states/eV per cell
Calculated formation energy ... -351 meV/atom
Uncorrected energy ... -6.9918 eV per atom

Geometry as POSCAR:
```
ZrCdRh2
1.0
3.0173 0.0000 0.0000
0.0000 4.0459 0.0000
0.0000 0.0000 5.4373
Cd Rh Zr
1 2 1
Direct
0.5000 0.5000 0.7788
0.0000 0.0000 0.9859
0.5000 0.5000 0.2706
0.0000 0.0000 0.4648
```